! AlTc3Pd (GGA-PBE, relaxed); values from VASP
! energy above the lowest structure with this stoichiometry: 616 meV per atom
! ΔH_f (0 K): 192.9 kJ/mol of atoms
! space-group type: Pm-3m (221)
&SYSTEM
  ibrav = 0, nat = 5, ntyp = 3
/
ATOMIC_SPECIES
Al 26.98 Al.upf
Tc 98.00 Tc.upf
Pd 106.42 Pd.upf
ATOMIC_POSITIONS crystal
Al 0.0000 0.0000 0.0000
Tc 0.0000 0.5000 0.5000
Tc 0.5000 0.0000 0.5000
Tc 0.5000 0.5000 0.0000
Pd 0.5000 0.5000 0.5000
CELL_PARAMETERS angstrom
4.7232 0.0000 0.0000
0.0000 4.7232 0.0000
0.0000 0.0000 4.7232


! Sr3ZrU2P6 (GGA-PBE, relaxed); values from VASP
! ΔH_f (0 K): -105.5 kJ/mol of atoms
! space-group type: C2/m (12)
&SYSTEM
  ibrav = 0, nat = 12, ntyp = 4
/
ATOMIC_SPECIES
Sr 87.62 Sr.upf
Zr 91.22 Zr.upf
U 238.03 U.upf
P 30.97 P.upf
ATOMIC_POSITIONS crystal
Sr 0.0000 0.0000 0.0000
Sr 0.3336 0.6664 0.0000
Sr 0.6664 0.3336 0.0000
Zr 0.5000 0.5000 0.5000
U 0.1667 0.8333 0.5000
U 0.8333 0.1667 0.5000
P 0.0997 0.4295 0.2887
P 0.2406 0.2406 0.7113
P 0.4295 0.0997 0.2887
P 0.5705 0.9003 0.7113
P 0.7594 0.7594 0.2887
P 0.9003 0.5705 0.7113
CELL_PARAMETERS angstrom
3.5001 -6.0619 0.0000
3.5001 6.0619 0.0000
-2.3334 0.0000 6.9195


! CaYIrO6 (GGA-PBE, relaxed); values from VASP
! formation energy (no corrections): -17.037 eV per formula unit
! space-group type: P-31c (163)
&SYSTEM
  ibrav = 0, nat = 18, ntyp = 4
/
ATOMIC_SPECIES
Ca 40.08 Ca.upf
Y 88.91 Y.upf
Ir 192.22 Ir.upf
O 16.00 O.upf
ATOMIC_POSITIONS crystal
Ca 0.0000 0.0000 0.0000
Ca 0.0000 0.0000 0.5000
Y 0.3333 0.6667 0.2500
Y 0.6667 0.3333 0.7500
Ir 0.3333 0.6667 0.7500
Ir 0.6667 0.3333 0.2500
O 0.0455 0.3813 0.6366
O 0.0455 0.6642 0.8634
O 0.3358 0.3813 0.8634
O 0.3358 0.9545 0.6366
O 0.3813 0.0455 0.1366
O 0.3813 0.3358 0.3634
O 0.6187 0.6642 0.6366
O 0.6187 0.9545 0.8634
O 0.6642 0.0455 0.3634
O 0.6642 0.6187 0.1366
O 0.9545 0.3358 0.1366
O 0.9545 0.6187 0.3634
CELL_PARAMETERS angstrom
5.5602 0.0000 0.0000
-2.7801 4.8152 0.0000
0.0000 0.0000 9.5736


! Rb3CO4 (GGA-PBE, relaxed); values from VASP
! formation energy (no corrections): -10.618 eV per formula unit
! energy above the lowest structure with this stoichiometry: 0 meV per atom
! space-group type: Pnma (62)
&SYSTEM
  ibrav = 0, nat = 32, ntyp = 3
/
ATOMIC_SPECIES
Rb 85.47 Rb.upf
C 12.01 C.upf
O 16.00 O.upf
ATOMIC_POSITIONS crystal
Rb 0.0204 0.0445 0.2291
Rb 0.0204 0.4555 0.2291
Rb 0.2024 0.7500 0.4061
Rb 0.2976 0.2500 0.9061
Rb 0.4796 0.5445 0.7291
Rb 0.4796 0.9555 0.7291
Rb 0.5204 0.0445 0.2709
Rb 0.5204 0.4555 0.2709
Rb 0.7024 0.7500 0.0939
Rb 0.7976 0.2500 0.5939
Rb 0.9796 0.5445 0.7709
Rb 0.9796 0.9555 0.7709
C 0.2295 0.7500 0.9905
C 0.2705 0.2500 0.4905
C 0.7295 0.7500 0.5095
C 0.7705 0.2500 0.0095
O 0.0596 0.7500 0.0473
O 0.1880 0.1318 0.5574
O 0.1880 0.3682 0.5574
O 0.2345 0.7500 0.8072
O 0.2655 0.2500 0.3072
O 0.3120 0.6318 0.0574
O 0.3120 0.8682 0.0574
O 0.4404 0.2500 0.5473
O 0.5596 0.7500 0.4527
O 0.6880 0.1318 0.9426
O 0.6880 0.3682 0.9426
O 0.7345 0.7500 0.6928
O 0.7655 0.2500 0.1928
O 0.8120 0.6318 0.4426
O 0.8120 0.8682 0.4426
O 0.9404 0.2500 0.9527
CELL_PARAMETERS angstrom
7.8878 0.0000 0.0000
0.0000 9.6664 0.0000
0.0000 0.0000 7.6564


! PrBe3Ir3 (GGA-PBE, relaxed); values from VASP
! ΔH_f (0 K): -15.2 kJ/mol of atoms
! space-group type: Pm-3n (223)
&SYSTEM
  ibrav = 0, nat = 14, ntyp = 3
/
ATOMIC_SPECIES
Pr 140.91 Pr.upf
Be 9.01 Be.upf
Ir 192.22 Ir.upf
ATOMIC_POSITIONS crystal
Pr 0.0000 0.0000 0.0000
Pr 0.5000 0.5000 0.5000
Be 0.0000 0.2500 0.5000
Be 0.0000 0.7500 0.5000
Be 0.2500 0.5000 0.0000
Be 0.5000 0.0000 0.2500
Be 0.5000 0.0000 0.7500
Be 0.7500 0.5000 0.0000
Ir 0.0000 0.5000 0.2500
Ir 0.0000 0.5000 0.7500
Ir 0.2500 0.0000 0.5000
Ir 0.5000 0.2500 0.0000
Ir 0.5000 0.7500 0.0000
Ir 0.7500 0.0000 0.5000
CELL_PARAMETERS angstrom
6.1066 0.0000 0.0000
0.0000 6.1066 0.0000
0.0000 0.0000 6.1066


! Ac4Cu3Pd (GGA-PBE, relaxed); values from VASP
! ΔH_f (0 K): -29.9 kJ/mol of atoms
! space-group type: Pmm2 (25)
&SYSTEM
  ibrav = 0, nat = 8, ntyp = 3
/
ATOMIC_SPECIES
Ac 227.00 Ac.upf
Cu 63.55 Cu.upf
Pd 106.42 Pd.upf
ATOMIC_POSITIONS crystal
Ac 0.0000 0.0000 0.0000
Ac 0.0000 0.5000 0.2760
Ac 0.5000 0.0000 0.4997
Ac 0.5000 0.5000 0.7778
Cu 0.0000 0.0000 0.7013
Cu 0.0000 0.5000 0.5743
Cu 0.5000 0.5000 0.0682
Pd 0.5000 0.0000 0.2099
CELL_PARAMETERS angstrom
4.2166 0.0000 0.0000
0.0000 4.6710 0.0000
0.0000 0.0000 11.4848


! Na3Mn3CrSe8 (GGA-PBE, relaxed); values from VASP
! formation energy (no corrections): -10.306 eV per formula unit
! space-group type: C2/m (12)
&SYSTEM
  ibrav = 0, nat = 15, ntyp = 4
/
ATOMIC_SPECIES
Na 22.99 Na.upf
Mn 54.94 Mn.upf
Cr 52.00 Cr.upf
Se 78.96 Se.upf
ATOMIC_POSITIONS crystal
Na 0.0000 0.0000 0.0000
Na 0.0000 0.5000 0.0000
Na 0.5000 0.0000 0.0000
Mn 0.0000 0.5000 0.5000
Mn 0.5000 0.0000 0.5000
Mn 0.5000 0.5000 0.5000
Cr 0.0000 0.0000 0.5000
Se 0.2314 0.2314 0.6965
Se 0.2313 0.7340 0.6964
Se 0.2657 0.2657 0.2974
Se 0.2660 0.7687 0.3036
Se 0.7340 0.2313 0.6964
Se 0.7343 0.7343 0.7026
Se 0.7687 0.2660 0.3036
Se 0.7686 0.7686 0.3035
CELL_PARAMETERS angstrom
6.4374 -3.7143 0.0000
6.4374 3.7143 0.0000
-4.2987 0.0000 7.0661


! CsBiSe2O8 (GGA-PBE, relaxed); values from VASP
! formation energy (no corrections): -12.468 eV per formula unit
! space-group type: R-3 (148)
&SYSTEM
  ibrav = 0, nat = 12, ntyp = 4
/
ATOMIC_SPECIES
Cs 132.91 Cs.upf
Bi 208.98 Bi.upf
Se 78.96 Se.upf
O 16.00 O.upf
ATOMIC_POSITIONS crystal
Cs 0.0000 0.0000 0.0000
Bi 0.5000 0.5000 0.5000
Se 0.2384 0.2384 0.2384
Se 0.7616 0.7616 0.7616
O 0.0795 0.4958 0.7715
O 0.2285 0.9205 0.5042
O 0.2977 0.2977 0.2977
O 0.4958 0.7715 0.0795
O 0.5042 0.2285 0.9205
O 0.7023 0.7023 0.7023
O 0.7715 0.0795 0.4958
O 0.9205 0.5042 0.2285
CELL_PARAMETERS angstrom
2.7216 1.5713 9.2694
-2.7216 1.5713 9.2694
0.0000 -3.1427 9.2694